(1)
Below is crystalline SrSi2PdPt at its relaxed geometry, with properties calculated at the PBE level.

Unit cell a=4.313 b=4.313 c=5.896 alpha=111.45 beta=111.45 gamma=90.00
Fractional positions:
Sr 0.000 0.000 0.000
Si 0.627 0.627 0.254
Si 0.373 0.373 0.746
Pd 0.750 0.250 0.500
Pt 0.250 0.750 0.500

Summary:
D(E_F), states/eV/f.u.: 2.6
Formation energy without anion corrections, eV/atom: -0.8191

(2)
Below is crystalline CdNiP2 at its relaxed geometry, with properties calculated at the PBE level.

Unit cell a=4.350 b=4.350 c=3.465 alpha=90.00 beta=90.00 gamma=105.75
Fractional positions:
Cd 0.500 0.000 0.500
Ni 0.000 0.500 0.500
P 0.000 0.000 0.000
P 0.500 0.500 0.000

Summary:
E, eV/atom: -3.99
D(E_F), states/eV/f.u.: 2.3

Which formula does entry 2 have? CdNiP2